(1)
The following is a DFT calculation (GGA-PBE) of a relaxed LaGa2Pd crystal.

Its formation energy is -2.3 eV per formula unit. The calculation puts the total energy at -4.61 eV/atom.

Cell: 4.865 4.865 4.865 Å, 60.00 60.00 60.00°
Atoms (fractional coordinates):
1 Pd 0.000 0.000 0.000
2 La 0.500 0.500 0.500
3 Ga 0.250 0.250 0.250
4 Ga 0.750 0.750 0.750

---

(2)
The following is a DFT calculation (GGA-PBE) of a relaxed LaGa3Pd3 crystal.

Its formation energy is -4.3 eV per formula unit. The energy above the most stable polymorph in this dataset is 0.091 eV/atom. The calculation puts the total energy at -4.84 eV/atom.

Cell: 6.915 6.915 7.590 Å, 62.90 62.90 60.00°
Atoms (fractional coordinates):
1 Pd 0.082 0.832 0.777
2 Pd 0.918 0.168 0.223
3 Pd 0.309 0.082 0.777
4 Pd 0.168 0.691 0.223
5 Pd 0.832 0.309 0.777
6 Pd 0.691 0.918 0.223
7 Ga 0.735 0.102 0.622
8 Ga 0.102 0.541 0.622
9 Ga 0.541 0.735 0.622
10 Ga 0.898 0.459 0.378
11 Ga 0.459 0.265 0.378
12 Ga 0.265 0.898 0.378
13 La 0.661 0.661 0.018
14 La 0.339 0.339 0.982

---

(3)
The following is a DFT calculation (GGA-PBE) of a relaxed La3Ga8Pd3 crystal.

Its formation energy is -10.2 eV per formula unit. The energy above the most stable polymorph in this dataset is 0.000 eV/atom. The calculation puts the total energy at -4.63 eV/atom.

Cell: 4.394 8.385 8.385 Å, 72.66 74.81 74.81°
Atoms (fractional coordinates):
1 Ga 0.372 0.907 0.349
2 Ga 0.628 0.093 0.651
3 Ga 0.167 0.466 0.199
4 Ga 0.833 0.534 0.801
5 Ga 0.628 0.651 0.093
6 Ga 0.833 0.801 0.534
7 Ga 0.372 0.349 0.907
8 Ga 0.167 0.199 0.466
9 Pd 0.500 0.000 0.000
10 Pd 0.000 0.217 0.783
11 Pd 0.000 0.783 0.217
12 La 0.816 0.184 0.184
13 La 0.184 0.816 0.816
14 La 0.500 0.500 0.500

---

(4)
The following is a DFT calculation (GGA-PBE) of a relaxed La4GaPd3 crystal.

Its formation energy is -6.0 eV per formula unit. The calculation puts the total energy at -5.54 eV/atom.

Cell: 4.016 4.593 11.453 Å, 90.00 90.00 90.00°
Atoms (fractional coordinates):
1 Pd 0.500 0.000 0.922
2 Pd 0.000 0.500 0.587
3 Pd 0.000 0.000 0.417
4 La 0.500 0.000 0.632
5 La 0.000 0.500 0.858
6 La 0.000 0.000 0.140
7 La 0.500 0.500 0.368
8 Ga 0.500 0.500 0.074